Material: ReAgCl3
Method: DFT, PBE-GGA
State: optimized geometry

a = 4.8482 Å, b = 4.8482 Å, c = 4.8482 Å
α = 90.00°, β = 90.00°, γ = 90.00°
Last column: nearest neighbours and their distance in Å.
Fractional coordinates of all 5 atoms:
Re1 0.0000 0.0000 0.0000  6 Cl 2.42
Ag1 0.5000 0.5000 0.5000  12 Cl 3.43
Cl1 0.0000 0.5000 0.0000  2 Re 2.42
Cl2 0.0000 0.0000 0.5000  2 Re 2.42
Cl3 0.5000 0.0000 0.0000  2 Re 2.42

## Properties
Total magnetic moment   2.5 μB per formula unit
Total energy   -19.382 eV per cell
DOS at the Fermi energy   2.904 states/eV per cell
Formation energy from raw total energies   1.46 eV per formula unit
SG   No. 221
Theoretical density   5.835 Mg/m³



Material: LiGaS2
Method: DFT, PBE-GGA
State: optimized geometry

a = 3.6069 Å, b = 3.6069 Å, c = 6.4816 Å
α = 90.00°, β = 90.00°, γ = 120.00°
Last column: nearest neighbours and their distance in Å.
Fractional coordinates of all 4 atoms:
S1 0.3333 0.6667 0.8028  1 Li 2.42, 3 Ga 2.43
S2 0.6667 0.3333 0.2274  3 Li 2.46, 3 Ga 2.57
Ga1 0.0000 0.0000 0.9953  6 S 2.43-2.57
Li1 0.3333 0.6667 0.4295  4 S 2.42-2.46

## Properties
Total magnetic moment   0.0 μB per formula unit
Total energy   -16.573 eV per cell
DOS at the Fermi energy   0.000 states/eV per cell
Formation energy from raw total energies   -3.38 eV per formula unit
SG   No. 156
Theoretical density   3.201 Mg/m³



Material: MnZn2P
Method: DFT, PBE-GGA
State: optimized geometry

a = 4.7850 Å, b = 4.7850 Å, c = 2.7897 Å
α = 90.05°, β = 90.05°, γ = 117.63°
Last column: nearest neighbours and their distance in Å.
Fractional coordinates of all 4 atoms:
Mn1 0.5000 0.5000 0.5000  2 P 2.48, 8 Zn 2.77
Zn1 0.5000 0.0000 0.0000  2 Zn 2.48, 4 Mn 2.77, 4 P 2.77
Zn2 0.0000 0.5000 0.0000  2 Zn 2.48, 4 P 2.77, 4 Mn 2.77
P1 0.0000 0.0000 0.5000  2 Mn 2.48, 8 Zn 2.77

## Properties
Total magnetic moment   3.0 μB per formula unit
Total energy   -16.691 eV per cell
DOS at the Fermi energy   2.038 states/eV per cell
SG   No. 65
Formation enthalpy at 0 K   0.109 eV/atom
Theoretical density   6.360 Mg/m³